# 1
Si2WSe | GGA-PBE | optimized geometry

Computed properties:
* M_tot: 0.000 μB/atom
* uncorrected formation energy: 278 meV per atom
* N(E_F): 0.2979 states/eV/atom
* symmetry: No. 8
* calculated volume: 71.2 Å³/f.u.
* total energy: -6.54 eV/atom

The structure in extended XYZ format:
```
4
Lattice="4.546 -0.003 -0.015 3.368 3.053 -0.015 0.467 0.180 5.120" Properties=species:S:1:pos:R:3 pbc="T T T"
Se 1.654 0.637 1.420
Si 0.559 0.215 4.797
Si 6.523 2.514 3.631
W 4.303 1.658 2.908
```

---

# 2
AlMoIr2 | GGA-PBE | optimized geometry

Computed properties:
* M_tot: 0.000 μB/atom
* N(E_F): 0.6974 states/eV/atom
* E above lowest polymorph: 19.5 kJ/mol of atoms
* symmetry: No. 25
* calculated volume: 59.2 Å³/f.u.
* total energy: -8.48 eV/atom
* ΔH_f (0 K): -411 meV per atom

The structure in extended XYZ format:
```
4
Lattice="4.444 0.000 0.000 0.000 2.814 -0.020 0.000 0.040 4.731" Properties=species:S:1:pos:R:3 pbc="T T T"
Mo 0.000 1.775 2.108
Ir 0.000 0.390 4.365
Ir 2.222 0.361 1.419
Al 2.222 1.795 3.904
```

---

# 3
LiMo2Se | GGA-PBE | optimized geometry

Computed properties:
* M_tot: 0.000 μB/atom
* uncorrected formation energy: 282 meV per atom
* N(E_F): 0.9625 states/eV/atom
* symmetry: No. 123
* calculated volume: 62.5 Å³/f.u.
* total energy: -6.48 eV/atom

The structure in extended XYZ format:
```
4
Lattice="4.600 0.000 0.000 0.000 3.685 0.000 0.000 0.000 3.685" Properties=species:S:1:pos:R:3 pbc="T T T"
Li 2.300 0.000 1.842
Mo 0.000 0.000 0.000
Mo 0.000 1.842 1.842
Se 2.300 1.842 0.000
```

---

> The highest N(E_F) belongs to which entry?

LiMo2Se

---

> Which value of total energy does entry 3 give?

-6.48 eV/atom

---

> Which of these has the lowest N(E_F)?

Si2WSe

---

Repeat the third record exactly.
LiMo2Se | GGA-PBE | optimized geometry

Computed properties:
* M_tot: 0.000 μB/atom
* uncorrected formation energy: 282 meV per atom
* N(E_F): 0.9625 states/eV/atom
* symmetry: No. 123
* calculated volume: 62.5 Å³/f.u.
* total energy: -6.48 eV/atom

The structure in extended XYZ format:
```
4
Lattice="4.600 0.000 0.000 0.000 3.685 0.000 0.000 0.000 3.685" Properties=species:S:1:pos:R:3 pbc="T T T"
Li 2.300 0.000 1.842
Mo 0.000 0.000 0.000
Mo 0.000 1.842 1.842
Se 2.300 1.842 0.000
```